# 1
{
  "formula": "Cs2Np3SnS8",
  "functional": "GGA-PBE",
  "state": "relaxed",
  "dft_energy_ev_per_atom": -6.701,
  "lattice": [[8.0862, 0.0000, 0.0000], [4.0431, 7.0029, 0.0000], [4.0431, 2.3343, 8.4884]],
  "species": ["Cs", "Cs", "Np", "Np", "Np", "Sn", "S", "S", "S", "S", "S", "S", "S", "S"],
  "frac_coords": [[0.1372, 0.1372, 0.5885], [0.4958, 0.4958, 0.5124], [0.4954, 0.0029, 0.0063], [0.0029, 0.4954, 0.0063], [0.4954, 0.4954, 0.0063], [0.8982, 0.8982, 0.3055], [0.2742, 0.2742, 0.1772], [0.7163, 0.7163, 0.8512], [0.2354, 0.2354, 0.8426], [0.6866, 0.2354, 0.8426], [0.2354, 0.6866, 0.8426], [0.7696, 0.2808, 0.1801], [0.2808, 0.7696, 0.1801], [0.7696, 0.7696, 0.1801]]
}

# 2
{
  "formula": "CsSr2NpS5",
  "functional": "GGA-PBE",
  "state": "relaxed",
  "dft_energy_ev_per_atom": -5.804,
  "lattice": [[5.1123, 0.0000, 0.0000], [0.0000, 7.6092, 0.0000], [-2.5562, -3.8046, 7.0393]],
  "species": ["Cs", "Sr", "Sr", "Np", "S", "S", "S", "S", "S"],
  "frac_coords": [[0.0000, 0.5000, 0.0000], [0.2119, 0.2119, 0.4237], [0.7881, 0.7881, 0.5763], [0.5000, 0.0000, 0.0000], [0.6379, 0.9102, 0.2758], [0.3621, 0.0898, 0.7242], [0.3621, 0.6344, 0.7242], [0.6379, 0.3656, 0.2758], [0.0000, 0.0000, 0.0000]]
}

# 3
{
  "formula": "Cs3Sr2NpS6",
  "functional": "GGA-PBE",
  "state": "relaxed",
  "dft_energy_ev_per_atom": -5.179,
  "lattice": [[-4.5866, 1.0027, -5.7888], [3.2305, -6.6301, 1.0763], [-5.7639, -0.4245, 6.0912]],
  "species": ["Cs", "Cs", "Cs", "Sr", "Sr", "Np", "S", "S", "S", "S", "S", "S"],
  "frac_coords": [[0.1731, 0.8269, 0.5000], [0.8269, 0.1731, 0.5000], [0.5000, 0.5000, 0.5000], [0.3339, 0.6661, 0.0000], [0.6661, 0.3339, 0.0000], [0.0000, 0.0000, 0.0000], [0.9384, 0.6423, 0.8154], [0.7676, 0.7676, 0.1878], [0.0616, 0.3577, 0.1846], [0.6423, 0.9384, 0.8154], [0.2324, 0.2324, 0.8122], [0.3577, 0.0616, 0.1846]]
}

# 4
{
  "formula": "Cs3Np3TaS8",
  "functional": "GGA-PBE",
  "state": "relaxed",
  "dft_energy_ev_per_atom": -7.026,
  "lattice": [[7.9083, 0.0001, 0.0003], [-3.9541, 6.8489, -0.0269], [0.0006, -4.5329, 8.2835]],
  "species": ["Cs", "Cs", "Cs", "Np", "Np", "Np", "Ta", "S", "S", "S", "S", "S", "S", "S", "S"],
  "frac_coords": [[0.0000, 0.0000, 0.0000], [0.0000, 0.5000, 0.0000], [0.5000, 0.5000, 0.0000], [0.5000, 0.0000, 0.5000], [0.5000, 0.5000, 0.5000], [0.0000, 0.5000, 0.5000], [0.0000, 0.0000, 0.5000], [0.2720, 0.5440, 0.3160], [0.7280, 0.4560, 0.6840], [0.7879, 0.5758, 0.3273], [0.2121, 0.4242, 0.6727], [0.7880, 0.0394, 0.3273], [0.2120, 0.9606, 0.6727], [0.2515, 0.0394, 0.3273], [0.7485, 0.9606, 0.6727]]
}

# 5
{
  "formula": "CsTbNpS4",
  "functional": "GGA-PBE",
  "state": "relaxed",
  "dft_energy_ev_per_atom": -6.485,
  "lattice": [[-3.1630, 2.6026, -7.5074], [-0.1167, -8.3209, 2.0357], [-5.1815, 5.6225, 4.1322]],
  "species": ["Cs", "Cs", "Tb", "Tb", "Np", "Np", "S", "S", "S", "S", "S", "S", "S", "S"],
  "frac_coords": [[0.8713, 0.7427, 0.1213], [0.1287, 0.2573, 0.8787], [0.5000, 0.0000, 0.5000], [0.5000, 0.0000, 0.0000], [0.5000, 0.5000, 0.5000], [0.0000, 0.5000, 0.5000], [0.7299, 0.4598, 0.6738], [0.3231, 0.0538, 0.2769], [0.7306, 0.0538, 0.2769], [0.7299, 0.4598, 0.2860], [0.2701, 0.5402, 0.7140], [0.6769, 0.9462, 0.7231], [0.2694, 0.9462, 0.7231], [0.2701, 0.5402, 0.3262]]
}

# 6
{
  "formula": "Cs3TbNp2S6",
  "functional": "GGA-PBE",
  "state": "relaxed",
  "dft_energy_ev_per_atom": -6.318,
  "lattice": [[-1.5974, -4.3393, -5.4833], [6.7593, 2.1847, 0.9934], [-0.3322, -5.7038, 6.1741]],
  "species": ["Cs", "Cs", "Cs", "Tb", "Np", "Np", "S", "S", "S", "S", "S", "S"],
  "frac_coords": [[0.1657, 0.8343, 0.5000], [0.8343, 0.1657, 0.5000], [0.5000, 0.5000, 0.5000], [0.0000, 0.0000, 0.0000], [0.3333, 0.6667, 0.0000], [0.6667, 0.3333, 0.0000], [0.9396, 0.6057, 0.8188], [0.7263, 0.7263, 0.1809], [0.0604, 0.3943, 0.1812], [0.6057, 0.9396, 0.8188], [0.2737, 0.2737, 0.8191], [0.3943, 0.0604, 0.1812]]
}